1:
## Zn2ReW (GGA-PBE)

Data for a geometry-optimized Zn2ReW structure.

The structure in POSCAR format:
```
Zn2ReW
1.0
-0.5220 -3.5949 -3.7428
-1.4082 -1.3859 4.7643
-2.6305 -0.0631 -0.3673
W Zn Re
1 2 1
Direct
0.5000 0.5000 0.0000
0.0000 0.0000 0.0000
0.5000 0.0000 0.5000
0.0000 0.5000 0.5000
```

2:
## Zn2ReW (GGA-PBE)

Data for a geometry-optimized Zn2ReW structure.

The structure in POSCAR format:
```
Zn2ReW
1.0
-8.5836 -0.4295 3.1574
-7.3204 -1.8614 5.1748
-7.4163 0.9122 5.2913
Zn Re W
2 1 1
Direct
0.9988 0.9988 0.9988
0.5012 0.5012 0.5012
0.2500 0.2500 0.2500
0.7500 0.7500 0.7500
```

3:
## Zn2ReW (GGA-PBE)

Data for a geometry-optimized Zn2ReW structure.

The structure in POSCAR format:
```
Zn2ReW
1.0
4.3844 0.0000 0.0000
2.1922 3.7970 0.0000
2.1922 1.2657 3.5798
Zn Re W
2 1 1
Direct
0.2500 0.2500 0.2500
0.0000 0.0000 0.0000
0.5000 0.5000 0.5000
0.7500 0.7500 0.7500
```

Most stable to least stable, the ends of the list are 3 and 2.

1:
## Zn2ReW (GGA-PBE)

Data for a geometry-optimized Zn2ReW structure.

The structure in POSCAR format:
```
Zn2ReW
1.0
2.6469 0.0000 0.0000
0.0000 4.2788 0.0000
0.0000 0.0000 5.2838
Zn W Re
2 1 1
Direct
0.0000 0.0000 0.4982
0.0000 0.0000 0.0018
0.5000 0.5000 0.7500
0.5000 0.5000 0.2500
```

2:
## Zn2ReW (GGA-PBE)

Data for a geometry-optimized Zn2ReW structure.

The structure in POSCAR format:
```
Zn2ReW
1.0
0.0000 3.0684 3.0684
3.0684 0.0000 3.0684
3.0684 3.0684 0.0000
Zn Re W
2 1 1
Direct
0.7500 0.7500 0.7500
0.2500 0.2500 0.2500
0.5000 0.5000 0.5000
0.0000 0.0000 0.0000
```

Most stable to least stable, the ends of the list are 1 and 2.

1:
## Zn2ReW (GGA-PBE)

Data for a geometry-optimized Zn2ReW structure.

The structure in POSCAR format:
```
Zn2ReW
1.0
5.0405 -0.0070 0.0000
-2.2581 4.5064 0.0000
0.0000 0.0000 2.6379
Re W Zn
1 1 2
Direct
0.5000 0.0000 0.5000
0.0000 0.5000 0.5000
0.5000 0.5000 0.0000
0.0000 0.0000 0.0000
```

2:
## Zn2ReW (GGA-PBE)

Data for a geometry-optimized Zn2ReW structure.

The structure in POSCAR format:
```
Zn2ReW
1.0
-1.3919 -0.8356 -4.5405
3.8035 0.1142 -2.9618
-1.3863 -2.3819 3.9568
Re Zn W
1 2 1
Direct
0.4996 0.4996 0.0000
0.9904 0.9904 0.0000
0.7597 0.2597 0.5000
0.2503 0.7503 0.5000
```

Most stable to least stable, the ends of the list are 2 and 1.

1:
## ZrReW3 (GGA-PBE)

Data for a geometry-optimized ZrReW3 structure.

The structure in POSCAR format:
```
ZrReW3
1.0
4.6836 0.0000 0.0000
0.0000 4.6836 0.0000
0.0000 0.0000 4.6836
Re Zr W
1 1 3
Direct
0.5000 0.5000 0.5000
0.0000 0.0000 0.0000
0.5000 0.0000 0.0000
0.0000 0.0000 0.5000
0.0000 0.5000 0.0000
```

2:
## ZrReW3 (GGA-PBE)

Data for a geometry-optimized ZrReW3 structure.

The structure in POSCAR format:
```
ZrReW3
1.0
4.7631 0.0000 0.0000
0.0000 4.7631 0.0000
0.0000 0.0000 4.7631
Zr W Re
1 3 1
Direct
0.5000 0.5000 0.5000
0.0000 0.5000 0.0000
0.5000 0.0000 0.0000
0.0000 0.0000 0.5000
0.0000 0.0000 0.0000
```

Most stable to least stable, the ends of the list are 2 and 1.